Here is a geometry-optimized Tb6Au5 structure from the Alexandria database. Energies are from PBE.

Values from the calculation:
As for the calculated total energy: -4.7552 eV per atom. Its energy of formation from the pure elements is -0.7399 eV/atom.

Lattice parameters (Å, degrees): 5.0727 7.2055 8.8051 114.15 106.64 90.00
Closest atoms and distances in Å follow each position.
Element x y z (fractional)
1 Tb 0.8346 0.0847 0.6692  7 Au 3.09-3.23
2 Au 0.0000 0.5000 0.0000  8 Tb 3.10-3.11
3 Tb 0.4999 0.7487 0.0000  6 Au 3.02-3.16
4 Tb 0.8346 0.5845 0.6692  7 Au 3.09-3.23
5 Tb 0.1654 0.4155 0.3308  7 Au 3.09-3.23
6 Au 0.3413 0.8412 0.6824  8 Tb 3.02-3.23
7 Au 0.3295 0.3297 0.6593  8 Tb 3.09-3.16
8 Tb 0.5001 0.2513 0.0000  6 Au 3.02-3.16
9 Au 0.6705 0.6703 0.3407  8 Tb 3.09-3.16
10 Au 0.6587 0.1588 0.3176  8 Tb 3.02-3.23
11 Tb 0.1654 0.9153 0.3308  7 Au 3.09-3.23

Here is a geometry-optimized Sr2SiBi structure from the Alexandria database. Energies are from PBE.

Values from the calculation:
As for the formation energy (no corrections): -35.58 kJ/mol of atoms. The calculation puts the relative energy among the computed polymorphs at 0.00 eV/f.u. As for the calculated total energy: -3.5356 eV per atom.

Lattice parameters (Å, degrees): 5.6559 5.6559 5.6559 60.00 60.00 60.00
Closest atoms and distances in Å follow each position.
Element x y z (fractional)
1 Sr 0.2500 0.2500 0.2500  4 Bi 3.46, 4 Si 3.46
2 Sr 0.7500 0.7500 0.7500  4 Bi 3.46, 4 Si 3.46
3 Si 0.0000 0.0000 0.0000  8 Sr 3.46
4 Bi 0.5000 0.5000 0.5000  8 Sr 3.46

Here is a geometry-optimized SbW2Br structure from the Alexandria database. Energies are from PBE.

Values from the calculation:
As for the formation energy (no corrections): 113.72 kJ/mol of atoms. The calculation puts the relative energy among the computed polymorphs at 3.91 eV/f.u. As for the calculated total energy: -6.7468 eV per atom.

Lattice parameters (Å, degrees): 5.0126 5.0126 5.0126 128.68 128.68 75.53
Closest atoms and distances in Å follow each position.
Element x y z (fractional)
1 Sb 0.7500 0.2500 0.5000  8 W 2.94-3.07, 4 Br 2.94
2 Br 0.5000 0.5000 0.0000  8 W 2.94-3.07, 4 Sb 2.94
3 W 0.0000 0.0000 0.0000  4 Sb 2.94, 4 W 2.94, 4 Br 3.07
4 W 0.2500 0.7500 0.5000  4 Br 2.94, 4 W 2.94, 4 Sb 3.07

Here is a geometry-optimized RbSn5Au2 structure from the Alexandria database. Energies are from PBE.

Values from the calculation:
As for the calculated total energy: -3.6021 eV per atom. Its energy of formation from the pure elements is -0.1601 eV/atom.

Lattice parameters (Å, degrees): 4.3483 7.9616 7.9616 61.82 74.15 74.15
Closest atoms and distances in Å follow each position.
Element x y z (fractional)
1 Au 0.7594 0.7406 0.7406  7 Sn 2.84-3.12
2 Sn 0.3480 0.4545 0.8495  3 Au 2.84-2.94
3 Sn 0.3480 0.8495 0.4545  3 Au 2.84-2.94
4 Sn 0.0000 0.5000 0.5000  2 Au 3.12, 8 Sn 3.35
5 Sn 0.6520 0.1505 0.5455  3 Au 2.84-2.94
6 Rb 0.0000 0.0000 0.0000  10 Sn 3.84-4.09, 4 Au 4.00
7 Sn 0.6520 0.5455 0.1505  3 Au 2.84-2.94
8 Au 0.2406 0.2594 0.2594  7 Sn 2.84-3.12

Here is a geometry-optimized Er6Si2C structure from the Alexandria database. Energies are from PBE.

Values from the calculation:
As for the formation energy (no corrections): -46.54 kJ/mol of atoms. As for the calculated total energy: -5.7542 eV per atom.

Lattice parameters (Å, degrees): 6.1642 7.5860 9.1920 90.00 90.94 90.00
Closest atoms and distances in Å follow each position.
Element x y z (fractional)
1 Er 0.8879 0.9667 0.2492  1 C 2.41
2 Si 0.9371 0.3873 0.7440  8 Er 2.88-3.22
3 Er 0.6121 0.4667 0.2508  1 C 2.41
4 Er 0.3271 0.8365 0.4440  1 C 2.43
5 Er 0.8541 0.7023 0.5536  1 C 2.48
6 Si 0.0629 0.6127 0.2560  8 Er 2.88-3.22
7 C 0.0000 0.0000 0.5000  6 Er 2.41-2.48
8 Er 0.3879 0.5333 0.7492  1 C 2.41
9 Er 0.6729 0.1635 0.5560  1 C 2.43
10 Er 0.8271 0.6635 0.9440  1 C 2.43
11 Si 0.5629 0.8873 0.7560  8 Er 2.88-3.22
12 Er 0.6459 0.2023 0.9464  1 C 2.48
13 Er 0.1729 0.3365 0.0560  1 C 2.43
14 Er 0.1459 0.2977 0.4464  1 C 2.48
15 Si 0.4371 0.1127 0.2440  8 Er 2.88-3.22
16 Er 0.1121 0.0333 0.7508  1 C 2.41
17 Er 0.3541 0.7977 0.0536  1 C 2.48
18 C 0.5000 0.5000 0.0000  6 Er 2.41-2.48

Here is a geometry-optimized Sm2HoSb structure from the Alexandria database. Energies are from PBE.

Values from the calculation:
As for the formation energy (no corrections): -48.83 kJ/mol of atoms. The calculation puts the relative energy among the computed polymorphs at 0.09 eV/f.u. As for the calculated total energy: -5.0407 eV per atom.

Lattice parameters (Å, degrees): 4.8693 4.8228 4.8228 90.00 90.00 90.00
Closest atoms and distances in Å follow each position.
Element x y z (fractional)
1 Sb 0.5000 0.0000 0.0000  4 Ho 3.41, 8 Sm 3.43
2 Ho 0.5000 0.5000 0.5000  4 Sb 3.41, 8 Sm 3.43
3 Sm 0.0000 0.5000 0.0000  4 Sm 3.41, 4 Sb 3.43, 4 Ho 3.43
4 Sm 0.0000 0.0000 0.5000  4 Sm 3.41, 4 Ho 3.43, 4 Sb 3.43

no.,M_tot (μB per formula unit)
1,0.0
2,0.0
3,0.0
4,0.0
5,0.0
6,0.0